[1]
{
  "formula": "KNpZnSe3",
  "functional": "GGA-PBE",
  "state": "optimized geometry",
  "e_tot_ev_per_atom": -5.3356,
  "e_form_raw_ev_per_fu": -6.2,
  "total_magnetization_mub_per_fu": 4.00,
  "lattice_angstrom": [[9.0973, 0.0000, 0.0000], [0.0000, 4.1827, 0.0000], [-2.9168, 0.0000, 9.4639]],
  "species": ["K", "K", "Np", "Np", "Zn", "Zn", "Se", "Se", "Se", "Se", "Se", "Se"],
  "fractional_positions": [[0.2072, 0.2500, 0.2335], [0.7928, 0.7500, 0.7665], [0.3280, 0.7500, 0.8555], [0.6720, 0.2500, 0.1445], [0.0853, 0.2500, 0.6077], [0.9147, 0.7500, 0.3923], [0.1046, 0.2500, 0.8591], [0.2009, 0.7500, 0.5324], [0.4588, 0.7500, 0.1575], [0.5412, 0.2500, 0.8425], [0.7991, 0.2500, 0.4676], [0.8954, 0.7500, 0.1409]]
}

---

[2]
{
  "formula": "Rb2CaInBr6",
  "functional": "GGA-PBE",
  "state": "optimized geometry",
  "e_tot_ev_per_atom": -3.1486,
  "e_form_raw_ev_per_fu": -14.8,
  "total_magnetization_mub_per_fu": 0.00,
  "lattice_angstrom": [[8.1348, 0.0000, 0.0000], [0.0000, 11.5341, 0.0000], [0.0000, 0.0000, 8.1962]],
  "species": ["Rb", "Rb", "Rb", "Rb", "Ca", "Ca", "In", "In", "Br", "Br", "Br", "Br", "Br", "Br", "Br", "Br", "Br", "Br", "Br", "Br"],
  "fractional_positions": [[0.2500, 0.0203, 0.2217], [0.2500, 0.4797, 0.2217], [0.7500, 0.5203, 0.7783], [0.7500, 0.9797, 0.7783], [0.2500, 0.2500, 0.7402], [0.7500, 0.7500, 0.2598], [0.2500, 0.7500, 0.7543], [0.7500, 0.2500, 0.2457], [0.0006, 0.7500, 0.0102], [0.0120, 0.2500, 0.4809], [0.2500, 0.0008, 0.7655], [0.2500, 0.4992, 0.7655], [0.4880, 0.2500, 0.4809], [0.4994, 0.7500, 0.0102], [0.5006, 0.2500, 0.9898], [0.5120, 0.7500, 0.5191], [0.7500, 0.5008, 0.2345], [0.7500, 0.9992, 0.2345], [0.9880, 0.7500, 0.5191], [0.9994, 0.2500, 0.9898]]
}

---

[3]
{
  "formula": "KVCd",
  "functional": "GGA-PBE",
  "state": "optimized geometry",
  "de_polymorph_mev_per_atom": 201,
  "e_tot_ev_per_atom": -3.1923,
  "e_form_ev_per_atom": 0.518,
  "total_magnetization_mub_per_fu": 0.00,
  "lattice_angstrom": [[8.8279, -2.5908, 0.0000], [8.8279, 2.5908, 0.0000], [-0.9984, 0.0000, 4.1096]],
  "species": ["K", "K", "V", "V", "Cd", "Cd"],
  "fractional_positions": [[0.0000, 0.0000, 0.0000], [0.6501, 0.6501, 0.6914], [0.2624, 0.2624, 0.3418], [0.3060, 0.3060, 0.7856], [0.4262, 0.4262, 0.4125], [0.8165, 0.8165, 0.3505]]
}

---

[4]
{
  "formula": "SiIr2Br",
  "functional": "GGA-PBE",
  "state": "optimized geometry",
  "de_polymorph_mev_per_atom": 787,
  "e_tot_ev_per_atom": -5.4671,
  "e_form_raw_ev_per_fu": 2.9,
  "total_magnetization_mub_per_fu": 0.00,
  "lattice_angstrom": [[3.0443, -3.4288, 0.0000], [3.0443, 3.4288, 0.0000], [0.0000, 0.0000, 2.9616]],
  "species": ["Si", "Ir", "Ir", "Br"],
  "fractional_positions": [[0.0000, 0.0000, 0.0000], [0.0000, 0.5000, 0.5000], [0.5000, 0.0000, 0.5000], [0.5000, 0.5000, 0.0000]]
}

---

[5]
{
  "formula": "Pa2TcSbRu",
  "functional": "GGA-PBE",
  "state": "optimized geometry",
  "e_tot_ev_per_atom": -8.8779,
  "e_form_raw_ev_per_fu": -1.6,
  "total_magnetization_mub_per_fu": 0.00,
  "lattice_angstrom": [[6.6371, 0.0000, 0.0000], [0.0000, 4.1141, 0.0000], [-2.9823, 0.0000, 7.9710]],
  "species": ["Pa", "Pa", "Pa", "Pa", "Tc", "Tc", "Sb", "Sb", "Ru", "Ru"],
  "fractional_positions": [[0.1220, 0.2500, 0.4060], [0.2417, 0.7500, 0.0399], [0.7583, 0.2500, 0.9601], [0.8780, 0.7500, 0.5940], [0.1010, 0.2500, 0.8079], [0.8990, 0.7500, 0.1921], [0.4039, 0.7500, 0.7283], [0.5961, 0.2500, 0.2717], [0.3733, 0.7500, 0.3885], [0.6267, 0.2500, 0.6115]]
}

---

[6]
{
  "formula": "Sc2TiHg4",
  "functional": "GGA-PBE",
  "state": "optimized geometry",
  "e_tot_ev_per_atom": -3.2518,
  "e_form_ev_per_atom": -0.142,
  "total_magnetization_mub_per_fu": 1.85,
  "lattice_angstrom": [[4.8031, 0.0000, 0.0000], [2.3884, 4.1845, 0.0000], [2.3891, -1.3236, 7.9807]],
  "species": ["Sc", "Sc", "Ti", "Hg", "Hg", "Hg", "Hg"],
  "fractional_positions": [[0.0053, 0.2483, 0.2452], [0.9947, 0.7517, 0.7548], [0.5000, 0.5000, 0.0000], [0.2462, 0.6284, 0.3856], [0.2529, 0.1230, 0.8692], [0.7471, 0.8770, 0.1308], [0.7538, 0.3716, 0.6144]]
}

---

[7]
{
  "formula": "Sm7Zn2Ge2",
  "functional": "GGA-PBE",
  "state": "optimized geometry",
  "e_tot_ev_per_atom": -4.1946,
  "e_form_ev_per_atom": -0.120,
  "total_magnetization_mub_per_fu": 0.00,
  "lattice_angstrom": [[3.8284, -5.5042, 0.0000], [3.8284, 5.5042, 0.0000], [0.0000, 0.0000, 7.4214]],
  "species": ["Sm", "Sm", "Sm", "Sm", "Sm", "Sm", "Sm", "Zn", "Zn", "Ge", "Ge"],
  "fractional_positions": [[0.0000, 0.0000, 0.0000], [0.0000, 0.5000, 0.2898], [0.0000, 0.5000, 0.7102], [0.5000, 0.0000, 0.2898], [0.5000, 0.0000, 0.7102], [0.5000, 0.5000, 0.2544], [0.5000, 0.5000, 0.7456], [0.2854, 0.7146, 0.0000], [0.7146, 0.2854, 0.0000], [0.1700, 0.1700, 0.5000], [0.8300, 0.8300, 0.5000]]
}

---

[8]
{
  "formula": "HfCuTeI2",
  "functional": "GGA-PBE",
  "state": "optimized geometry",
  "de_polymorph_mev_per_atom": 377,
  "e_tot_ev_per_atom": -3.5065,
  "e_form_raw_ev_per_fu": 2.8,
  "total_magnetization_mub_per_fu": 0.00,
  "lattice_angstrom": [[5.1844, 0.0000, 0.0000], [0.0000, 5.1844, 0.0000], [0.0000, 0.0000, 5.2578]],
  "species": ["Hf", "Cu", "Te", "I", "I"],
  "fractional_positions": [[0.0000, 0.0000, 0.0000], [0.5000, 0.5000, 0.5000], [0.5000, 0.5000, 0.0000], [0.0000, 0.5000, 0.5000], [0.5000, 0.0000, 0.5000]]
}

---

[9]
{
  "formula": "HfBeAlBi2",
  "functional": "GGA-PBE",
  "state": "optimized geometry",
  "e_tot_ev_per_atom": -4.4208,
  "e_form_ev_per_atom": 0.616,
  "total_magnetization_mub_per_fu": 0.00,
  "lattice_angstrom": [[4.9347, 0.0000, 0.0000], [0.0000, 4.9347, 0.0000], [0.0000, 0.0000, 4.9664]],
  "species": ["Hf", "Be", "Al", "Bi", "Bi"],
  "fractional_positions": [[0.0000, 0.0000, 0.0000], [0.0000, 0.0000, 0.5000], [0.5000, 0.5000, 0.0000], [0.0000, 0.5000, 0.5000], [0.5000, 0.0000, 0.5000]]
}

---

[10]
{
  "formula": "Na2ScCoHg",
  "functional": "GGA-PBE",
  "state": "optimized geometry",
  "e_tot_ev_per_atom": -2.5176,
  "e_form_ev_per_atom": 0.758,
  "total_magnetization_mub_per_fu": 0.01,
  "lattice_angstrom": [[4.9270, 0.0000, 0.0000], [0.0000, 4.9270, 0.0000], [0.0000, 0.0000, 5.0302]],
  "species": ["Na", "Na", "Sc", "Co", "Hg"],
  "fractional_positions": [[0.0000, 0.5000, 0.0000], [0.5000, 0.0000, 0.0000], [0.0000, 0.0000, 0.5000], [0.5000, 0.5000, 0.0000], [0.5000, 0.5000, 0.5000]]
}

---

[11]
{
  "formula": "ScAlZn2",
  "functional": "GGA-PBE",
  "state": "optimized geometry",
  "e_tot_ev_per_atom": -3.4536,
  "e_form_ev_per_atom": -0.298,
  "total_magnetization_mub_per_fu": 0.00,
  "lattice_angstrom": [[1.6080, -9.7374, 0.0000], [1.6080, 9.7374, 0.0000], [0.0000, 0.0000, 4.4228]],
  "species": ["Sc", "Sc", "Al", "Al", "Zn", "Zn", "Zn", "Zn"],
  "fractional_positions": [[0.0982, 0.9018, 0.7500], [0.9018, 0.0982, 0.2500], [0.3414, 0.6586, 0.7500], [0.6586, 0.3414, 0.2500], [0.2695, 0.7305, 0.2500], [0.4700, 0.5300, 0.7500], [0.5300, 0.4700, 0.2500], [0.7305, 0.2695, 0.7500]]
}

---

[12]
{
  "formula": "ZnTe2Au",
  "functional": "GGA-PBE",
  "state": "optimized geometry",
  "e_tot_ev_per_atom": -2.5990,
  "e_form_raw_ev_per_fu": 0.4,
  "total_magnetization_mub_per_fu": 0.00,
  "lattice_angstrom": [[1.9809, -3.7708, 0.0000], [1.9809, 3.7708, 0.0000], [0.0000, 0.0000, 7.7335]],
  "species": ["Zn", "Te", "Te", "Au"],
  "fractional_positions": [[0.0000, 0.0000, 0.0000], [0.5000, 0.5000, 0.2542], [0.5000, 0.5000, 0.7458], [0.0000, 0.0000, 0.5000]]
}